DFT (PBE) results for crystalline Ce3Y4S8 at its relaxed geometry.

Computed properties:
Raw formation energy in kJ/mol of formula units: -2961
D(E_F) in states/eV per cell: 18.30
Energy in eV/atom: -7.16
SG: C2/m

```
Ce3Y4S8
1.0
5.6047 -5.6093 0.0000
5.6047 5.6093 0.0000
-5.5678 0.0000 5.6113
Ce Y S
3 4 8
Direct
0.0000 0.0000 0.0000
0.0000 0.5000 0.0000
0.5000 0.0000 0.0000
0.0000 0.5000 0.5000
0.5000 0.0000 0.5000
0.5000 0.5000 0.0000
0.5000 0.5000 0.5000
0.2527 0.7473 0.5000
0.2535 0.7465 0.0000
0.2547 0.2547 0.5059
0.2570 0.2570 0.0067
0.7430 0.7430 0.9933
0.7453 0.7453 0.4941
0.7465 0.2535 0.0000
0.7473 0.2527 0.5000
```

***

DFT (PBE) results for crystalline Ag3IF6 at its relaxed geometry.

Computed properties:
Raw formation energy in kJ/mol of formula units: -994
D(E_F) in states/eV per cell: 14.65
Energy in eV/atom: -3.16
SG: Cmc2_1

```
Ag3IF6
1.0
4.4964 -5.5645 0.0000
4.4964 5.5645 0.0000
0.0000 0.0000 6.7503
Ag I F
6 2 12
Direct
0.0622 0.3420 0.4969
0.1260 0.8740 0.5000
0.3420 0.0622 0.9969
0.6580 0.9378 0.4969
0.8740 0.1260 0.0000
0.9378 0.6580 0.9969
0.3595 0.6405 0.9852
0.6405 0.3595 0.4852
0.0176 0.6391 0.3092
0.1073 0.2268 0.1978
0.2268 0.1073 0.6978
0.3295 0.6705 0.6799
0.3609 0.9824 0.3092
0.3969 0.6031 0.2786
0.6031 0.3969 0.7786
0.6391 0.0176 0.8092
0.6705 0.3295 0.1799
0.7732 0.8927 0.1978
0.8927 0.7732 0.6978
0.9824 0.3609 0.8092
```

***

DFT (PBE) results for crystalline Rb2TlCr at its relaxed geometry.

Computed properties:
Calculated formation energy in eV per atom: 0.59
Energy relative to the lowest polymorph listed for this composition in kJ per mole of atoms: 0.0
D(E_F) in states/eV per cell: 19.26
Energy in eV/atom: -2.89
SG: I-42d

```
Rb2TlCr
1.0
13.0361 0.0000 0.0000
0.0000 13.0361 0.0000
0.0000 0.0000 5.4419
Rb Tl Cr
8 4 4
Direct
0.0911 0.2500 0.1250
0.2500 0.5911 0.3750
0.2500 0.9089 0.8750
0.4089 0.2500 0.6250
0.5911 0.7500 0.6250
0.7500 0.0911 0.8750
0.7500 0.4089 0.3750
0.9089 0.7500 0.1250
0.0000 0.0000 0.5000
0.0000 0.5000 0.7500
0.5000 0.0000 0.2500
0.5000 0.5000 0.0000
0.0000 0.0000 0.0000
0.0000 0.5000 0.2500
0.5000 0.0000 0.7500
0.5000 0.5000 0.5000
```

***

DFT (PBE) results for crystalline Sc2CrRe at its relaxed geometry.

Computed properties:
Calculated formation energy in eV per atom: 0.26
Energy relative to the lowest polymorph listed for this composition in kJ per mole of atoms: 26.9
D(E_F) in states/eV per cell: 7.64
Energy in eV/atom: -8.42
SG: Immm

```
Sc2CrRe
1.0
3.3064 0.0000 0.0000
0.0000 4.6163 0.0000
0.0000 0.0000 8.8749
Sc Cr Re
4 2 2
Direct
0.0000 0.0000 0.2465
0.0000 0.0000 0.7535
0.5000 0.5000 0.2535
0.5000 0.5000 0.7465
0.0000 0.5000 0.0000
0.5000 0.0000 0.5000
0.0000 0.5000 0.5000
0.5000 0.0000 0.0000
```

***

DFT (PBE) results for crystalline Ba2MnAl at its relaxed geometry.

Computed properties:
Calculated formation energy in eV per atom: 0.12
D(E_F) in states/eV per cell: 9.64
Energy in eV/atom: -4.06
SG: Cm

```
Ba2MnAl
1.0
8.0208 0.0000 0.0000
0.0000 4.6292 0.0000
-2.6551 0.0000 8.7785
Ba Mn Al
4 2 2
Direct
0.0000 0.0000 0.0000
0.1711 0.0000 0.5163
0.5000 0.5000 0.0000
0.6711 0.5000 0.5163
0.2521 0.5000 0.2582
0.7521 0.0000 0.2582
0.4187 0.0000 0.2578
0.9187 0.5000 0.2578
```

***

DFT (PBE) results for crystalline GaCo2Re at its relaxed geometry.

Computed properties:
Calculated formation energy in eV per atom: 0.53
D(E_F) in states/eV per cell: 16.57
Energy in eV/atom: -6.89
SG: I-42d

```
GaCo2Re
1.0
3.6717 0.0000 0.0000
0.0000 3.6717 0.0000
0.0000 0.0000 16.3003
Ga Co Re
4 8 4
Direct
0.0000 0.0000 0.0000
0.0000 0.5000 0.2500
0.5000 0.0000 0.7500
0.5000 0.5000 0.5000
0.2488 0.2500 0.6250
0.2500 0.7488 0.8750
0.2500 0.7512 0.3750
0.2512 0.2500 0.1250
0.7488 0.7500 0.1250
0.7500 0.2488 0.3750
0.7500 0.2512 0.8750
0.7512 0.7500 0.6250
0.0000 0.0000 0.5000
0.0000 0.5000 0.7500
0.5000 0.0000 0.2500
0.5000 0.5000 0.0000
```

***

DFT (PBE) results for crystalline BaTl2PS4 at its relaxed geometry.

Computed properties:
Raw formation energy in kJ/mol of formula units: -391
D(E_F) in states/eV per cell: 6.51
Energy in eV/atom: -4.08
SG: Imma

```
BaTl2PS4
1.0
-4.0928 5.1797 5.1465
4.0928 -5.1797 5.1465
4.0928 5.1797 -5.1465
Ba Tl P S
2 4 2 8
Direct
0.0000 0.0000 0.0000
0.5000 0.0000 0.5000
0.0000 0.5000 0.5000
0.5000 0.0000 0.0000
0.5000 0.5000 0.0000
0.5000 0.5000 0.5000
0.0000 0.0000 0.5000
0.0000 0.5000 0.0000
0.2157 0.0000 0.7157
0.2162 0.2051 0.4889
0.2157 0.5000 0.2157
0.2162 0.7272 0.0111
0.7843 0.0000 0.2843
0.7839 0.2728 0.9889
0.7843 0.5000 0.7843
0.7839 0.7949 0.5111
```

***

DFT (PBE) results for crystalline MgZnTe2 at its relaxed geometry.

Computed properties:
Raw formation energy in kJ/mol of formula units: -147
Energy in eV/atom: -2.67
SG: R3m

```
MgZnTe2
1.0
4.5216 0.0000 0.0000
-2.2608 3.9158 0.0000
0.0000 0.0000 32.1885
Mg Zn Te
3 3 6
Direct
0.0000 0.0000 0.0000
0.3333 0.6667 0.6667
0.6667 0.3333 0.3333
0.0000 0.0000 0.8181
0.3333 0.6667 0.4847
0.6667 0.3333 0.1514
0.0000 0.0000 0.3157
0.0000 0.0000 0.4890
0.3333 0.6667 0.1556
0.3333 0.6667 0.9824
0.6667 0.3333 0.6491
0.6667 0.3333 0.8223
```

***

DFT (PBE) results for crystalline YTeCl at its relaxed geometry.

Computed properties:
Raw formation energy in kJ/mol of formula units: -517
Energy in eV/atom: -5.60
SG: P2_1/m

```
YTeCl
1.0
4.1804 0.0000 0.0000
0.0000 6.1353 0.0000
-1.7392 0.0000 8.7134
Y Te Cl
2 2 2
Direct
0.1921 0.2500 0.3612
0.8079 0.7500 0.6388
0.1981 0.7500 0.3755
0.8019 0.2500 0.6245
0.3875 0.7500 0.8307
0.6125 0.2500 0.1693
```

***

DFT (PBE) results for crystalline LaHfAu at its relaxed geometry.

Computed properties:
Calculated formation energy in eV per atom: -0.27
Energy relative to the lowest polymorph listed for this composition in kJ per mole of atoms: 13.0
D(E_F) in states/eV per cell: 14.21
Energy in eV/atom: -6.32
SG: Cm

```
LaHfAu
1.0
12.3029 0.0000 0.0000
0.0000 3.4858 0.0000
-2.2443 0.0000 6.8125
La Hf Au
4 4 4
Direct
0.0000 0.0000 0.0000
0.1767 0.5000 0.3407
0.5000 0.5000 0.0000
0.6767 0.0000 0.3407
0.1914 0.5000 0.8323
0.4986 0.5000 0.5327
0.6914 0.0000 0.8323
0.9986 0.0000 0.5327
0.3348 0.0000 0.6686
0.3509 0.0000 0.1960
0.8348 0.5000 0.6686
0.8509 0.5000 0.1960
```

***

DFT (PBE) results for crystalline Sr2Ce4As3N2 at its relaxed geometry.

Computed properties:
Raw formation energy in kJ/mol of formula units: -1301
D(E_F) in states/eV per cell: 18.32
Energy in eV/atom: -6.47
SG: I4/mmm

```
Sr2Ce4As3N2
1.0
-2.3487 2.3487 12.4374
2.3487 -2.3487 12.4374
2.3487 2.3487 -12.4374
Sr Ce As N
2 4 3 2
Direct
0.1990 0.1990 0.0000
0.8010 0.8010 0.0000
0.0804 0.5804 0.5000
0.4196 0.9196 0.5000
0.5804 0.0804 0.5000
0.9196 0.4196 0.5000
0.3300 0.3300 0.0000
0.5000 0.5000 0.0000
0.6700 0.6700 0.0000
0.0951 0.0951 0.0000
0.9049 0.9049 0.0000
```

***

DFT (PBE) results for crystalline La3H3Pb at its relaxed geometry.

Computed properties:
Energy relative to the lowest polymorph listed for this composition in kJ per mole of atoms: 6.1
D(E_F) in states/eV per cell: 8.15
Energy in eV/atom: -4.56
SG: R-3

```
La3H3Pb
1.0
3.5328 2.0396 7.7044
-3.5328 2.0396 7.7044
0.0000 -4.0793 7.7044
La H Pb
6 6 2
Direct
0.0985 0.4338 0.7690
0.2310 0.9015 0.5662
0.4338 0.7690 0.0985
0.5662 0.2310 0.9015
0.7690 0.0985 0.4338
0.9015 0.5662 0.2310
0.1319 0.7886 0.4656
0.2114 0.5344 0.8681
0.4656 0.1319 0.7886
0.5344 0.8681 0.2114
0.7886 0.4656 0.1319
0.8681 0.2114 0.5344
0.3338 0.3338 0.3338
0.6662 0.6662 0.6662
```

***

DFT (PBE) results for crystalline La4Dy3Th at its relaxed geometry.

Computed properties:
Calculated formation energy in eV per atom: 0.16
Energy relative to the lowest polymorph listed for this composition in kJ per mole of atoms: 0.0
D(E_F) in states/eV per cell: 28.03
Energy in eV/atom: -4.96
SG: C2/m

```
La4Dy3Th
1.0
23.9965 0.0000 0.0000
0.0000 3.4775 0.0000
-1.9685 0.0000 6.6285
La Dy Th
8 6 2
Direct
0.1195 0.0000 0.3602
0.2428 0.5000 0.2329
0.2572 0.0000 0.7671
0.3805 0.5000 0.6398
0.6195 0.5000 0.3602
0.7428 0.0000 0.2329
0.7572 0.5000 0.7671
0.8805 0.0000 0.6398
0.0000 0.0000 0.5000
0.1207 0.0000 0.8832
0.3793 0.5000 0.1168
0.5000 0.5000 0.5000
0.6207 0.5000 0.8832
0.8793 0.0000 0.1168
0.0000 0.5000 0.0000
0.5000 0.0000 0.0000
```

***

DFT (PBE) results for crystalline Pm6PrSi4 at its relaxed geometry.

Computed properties:
Raw formation energy in kJ/mol of formula units: -407
D(E_F) in states/eV per cell: 10.59
Energy in eV/atom: -5.38
SG: I-42m

```
Pm6PrSi4
1.0
-3.8549 3.8549 5.5380
3.8549 -3.8549 5.5380
3.8549 3.8549 -5.5380
Pm Pr Si
6 1 4
Direct
0.0000 0.5000 0.5000
0.0154 0.0154 0.6873
0.3281 0.3281 0.3127
0.5000 0.0000 0.5000
0.6719 0.9846 0.0000
0.9846 0.6719 0.0000
0.5000 0.5000 0.0000
0.1283 0.1283 0.4425
0.3141 0.8717 0.0000
0.6859 0.6859 0.5575
0.8717 0.3141 0.0000
```

***

DFT (PBE) results for crystalline Hg2SbI at its relaxed geometry.

Computed properties:
Raw formation energy in kJ/mol of formula units: 115
Energy relative to the lowest polymorph listed for this composition in kJ per mole of atoms: 39.4
D(E_F) in states/eV per cell: 12.35
Energy in eV/atom: -1.27
SG: Fm-3m

```
Hg2SbI
1.0
7.7709 0.0000 0.0000
0.0000 7.7709 0.0000
0.0000 0.0000 7.7709
Hg Sb I
8 4 4
Direct
0.2500 0.2500 0.2500
0.2500 0.2500 0.7500
0.2500 0.7500 0.2500
0.2500 0.7500 0.7500
0.7500 0.2500 0.2500
0.7500 0.2500 0.7500
0.7500 0.7500 0.2500
0.7500 0.7500 0.7500
0.0000 0.0000 0.0000
0.0000 0.5000 0.5000
0.5000 0.0000 0.5000
0.5000 0.5000 0.0000
0.0000 0.0000 0.5000
0.0000 0.5000 0.0000
0.5000 0.0000 0.0000
0.5000 0.5000 0.5000
```

***

DFT (PBE) results for crystalline PrYTcAg at its relaxed geometry.

Computed properties:
Calculated formation energy in eV per atom: -0.01
D(E_F) in states/eV per cell: 16.54
Energy in eV/atom: -6.13
SG: F-43m

```
PrYTcAg
1.0
7.1837 0.0000 0.0000
0.0000 7.1837 0.0000
0.0000 0.0000 7.1837
Pr Y Tc Ag
4 4 4 4
Direct
0.0000 0.0000 0.0000
0.0000 0.5000 0.5000
0.5000 0.0000 0.5000
0.5000 0.5000 0.0000
0.0000 0.0000 0.5000
0.0000 0.5000 0.0000
0.5000 0.0000 0.0000
0.5000 0.5000 0.5000
0.2500 0.2500 0.7500
0.2500 0.7500 0.2500
0.7500 0.2500 0.2500
0.7500 0.7500 0.7500
0.2500 0.2500 0.2500
0.2500 0.7500 0.7500
0.7500 0.2500 0.7500
0.7500 0.7500 0.2500
```

***

DFT (PBE) results for crystalline LiLa4Sm3S8 at its relaxed geometry.

Computed properties:
Raw formation energy in kJ/mol of formula units: -3135
D(E_F) in states/eV per cell: 10.79
Energy in eV/atom: -6.33
SG: R-3m

```
LiLa4Sm3S8
1.0
4.0725 2.3513 6.6322
-4.0725 2.3513 6.6322
0.0000 -4.7025 6.6322
Li La Sm S
1 4 3 8
Direct
0.0000 0.0000 0.0000
0.0000 0.0000 0.5000
0.0000 0.5000 0.0000
0.5000 0.0000 0.0000
0.5000 0.5000 0.5000
0.0000 0.5000 0.5000
0.5000 0.0000 0.5000
0.5000 0.5000 0.0000
0.2421 0.2421 0.7511
0.2421 0.7511 0.2421
0.2489 0.7579 0.7579
0.2533 0.2533 0.2533
0.7467 0.7467 0.7467
0.7511 0.2421 0.2421
0.7579 0.2489 0.7579
0.7579 0.7579 0.2489
```

***

DFT (PBE) results for crystalline TbPrGdTl at its relaxed geometry.

Computed properties:
Calculated formation energy in eV per atom: -0.07
D(E_F) in states/eV per cell: 18.91
Energy in eV/atom: -6.54
SG: F-43m

```
TbPrGdTl
1.0
7.8668 0.0000 0.0000
0.0000 7.8668 0.0000
0.0000 0.0000 7.8668
Tb Pr Gd Tl
4 4 4 4
Direct
0.0000 0.0000 0.0000
0.0000 0.5000 0.5000
0.5000 0.0000 0.5000
0.5000 0.5000 0.0000
0.2500 0.2500 0.2500
0.2500 0.7500 0.7500
0.7500 0.2500 0.7500
0.7500 0.7500 0.2500
0.2500 0.2500 0.7500
0.2500 0.7500 0.2500
0.7500 0.2500 0.2500
0.7500 0.7500 0.7500
0.0000 0.0000 0.5000
0.0000 0.5000 0.0000
0.5000 0.0000 0.0000
0.5000 0.5000 0.5000
```

***

DFT (PBE) results for crystalline Sr3GaIr2 at its relaxed geometry.

Computed properties:
Calculated formation energy in eV per atom: -0.27
D(E_F) in states/eV per cell: 4.92
Energy in eV/atom: -4.57
SG: P2_1/m

```
Sr3GaIr2
1.0
4.8144 0.0000 0.0000
0.0000 9.4125 0.0000
-2.3924 0.0000 7.3713
Sr Ga Ir
6 2 4
Direct
0.1356 0.0421 0.2719
0.1356 0.4579 0.2719
0.3590 0.2500 0.7158
0.6410 0.7500 0.2842
0.8644 0.5421 0.7281
0.8644 0.9579 0.7281
0.4363 0.7500 0.8734
0.5637 0.2500 0.1266
0.2687 0.7500 0.5412
0.5000 0.0000 0.0000
0.5000 0.5000 0.0000
0.7313 0.2500 0.4588
```

***

DFT (PBE) results for crystalline Cd2HgBr at its relaxed geometry.

Computed properties:
Raw formation energy in kJ/mol of formula units: -41
Energy relative to the lowest polymorph listed for this composition in kJ per mole of atoms: 9.7
D(E_F) in states/eV per cell: 3.04
Energy in eV/atom: -1.06
SG: I-4m2

```
Cd2HgBr
1.0
4.2845 0.0000 0.0000
0.0000 4.2845 0.0000
0.0000 0.0000 12.1892
Cd Hg Br
4 2 2
Direct
0.0000 0.0000 0.0000
0.0000 0.5000 0.2500
0.5000 0.0000 0.7500
0.5000 0.5000 0.5000
0.0000 0.5000 0.7500
0.5000 0.0000 0.2500
0.0000 0.0000 0.5000
0.5000 0.5000 0.0000
```

***

DFT (PBE) results for crystalline LiLaPt2 at its relaxed geometry.

Computed properties:
Calculated formation energy in eV per atom: -0.81
D(E_F) in states/eV per cell: 1.44
Energy in eV/atom: -5.54
SG: P4mm

```
LiLaPt2
1.0
4.3471 0.0000 0.0000
0.0000 4.3471 0.0000
0.0000 0.0000 4.1011
Li La Pt
1 1 2
Direct
0.0000 0.0000 0.0000
0.5000 0.5000 0.9133
0.0000 0.5000 0.4187
0.5000 0.0000 0.4187
```

***

DFT (PBE) results for crystalline RbBa2Hg at its relaxed geometry.

Computed properties:
Calculated formation energy in eV per atom: -0.24
D(E_F) in states/eV per cell: 3.25
Energy in eV/atom: -1.52
SG: P4/mmm

```
RbBa2Hg
1.0
4.2984 0.0000 0.0000
0.0000 4.2984 0.0000
0.0000 0.0000 11.7307
Rb Ba Hg
1 2 1
Direct
0.0000 0.0000 0.0000
0.5000 0.5000 0.3327
0.5000 0.5000 0.6673
0.0000 0.0000 0.5000
```

***

DFT (PBE) results for crystalline Ti2Ni2Mo at its relaxed geometry.

Computed properties:
Calculated formation energy in eV per atom: -0.19
Energy relative to the lowest polymorph listed for this composition in kJ per mole of atoms: 0.0
D(E_F) in states/eV per cell: 12.72
Energy in eV/atom: -7.83
SG: P4/mbm

```
Ti2Ni2Mo
1.0
7.0745 0.0000 0.0000
0.0000 7.0745 0.0000
0.0000 0.0000 2.8133
Ti Ni Mo
4 4 2
Direct
0.1734 0.3266 0.0000
0.3266 0.8266 0.0000
0.6734 0.1734 0.0000
0.8266 0.6734 0.0000
0.1239 0.6239 0.5000
0.3761 0.1239 0.5000
0.6239 0.8761 0.5000
0.8761 0.3761 0.5000
0.0000 0.0000 0.5000
0.5000 0.5000 0.5000
```